Here is a relaxed structure of Ho2TeO2 from Alexandria. Energies are from GGA-PBEsol.

a b c (Å): 3.838 3.838 14.204
angles (deg): 90.00 90.00 120.00
Positions (direct):
Ho  0.333  0.667  0.097
Ho  0.333  0.667  0.403
Ho  0.667  0.333  0.597
Ho  0.667  0.333  0.903
Te  0.000  0.000  0.250
Te  0.000  0.000  0.750
O  0.333  0.667  0.560
O  0.333  0.667  0.940
O  0.667  0.333  0.060
O  0.667  0.333  0.440

Computed properties:
E_form (uncorrected), meV per atom: -2957
Space group: P6_3/mmc, No. 194
Total magnetic moment, μB per formula unit: 0.00